{"formula": "Sm3CoTe", "functional": "PBE-GGA", "state": "optimized geometry", "lattice": [[8.234, 0.000, 0.000], [0.000, 4.003, 0.000], [-2.328, 0.000, 8.362]], "species": ["Sm", "Sm", "Sm", "Sm", "Sm", "Sm", "Co", "Co", "Te", "Te"], "frac_coords": [[0.070, 0.250, 0.252], [0.302, 0.250, 0.933], [0.312, 0.750, 0.591], [0.688, 0.250, 0.409], [0.698, 0.750, 0.067], [0.930, 0.750, 0.748], [0.054, 0.250, 0.575], [0.946, 0.750, 0.425], [0.386, 0.750, 0.236], [0.614, 0.250, 0.764]], "e_form_raw_ev_per_atom": -0.618}

{"formula": "KLa2Mo", "functional": "PBE-GGA", "state": "optimized geometry", "lattice": [[3.619, 0.000, 0.000], [0.000, 4.602, 0.000], [-1.490, 0.000, 9.591]], "species": ["K", "La", "La", "Mo"], "frac_coords": [[0.000, 0.000, 0.000], [0.374, 0.000, 0.620], [0.663, 0.500, 0.355], [0.989, 0.500, 0.592]], "e_form_ev_per_atom": 0.5298, "relative_energy_mev_per_atom": 174}

{"formula": "Cu2IrBr", "functional": "PBE-GGA", "state": "optimized geometry", "lattice": [[-1.913, 1.913, 4.115], [1.913, -1.913, 4.115], [1.913, 1.913, -4.115]], "species": ["Cu", "Cu", "Ir", "Br"], "frac_coords": [[0.000, 0.000, 0.000], [0.750, 0.250, 0.500], [0.250, 0.750, 0.500], [0.500, 0.500, 0.000]], "e_form_raw_ev_per_atom": 0.753, "relative_energy_mev_per_atom": 355}

{"formula": "La2AgGe3Au4", "functional": "PBE-GGA", "state": "optimized geometry", "lattice": [[4.499, 0.000, 0.000], [0.000, 4.499, 0.000], [0.000, 0.000, 10.803]], "species": ["La", "La", "Ag", "Ge", "Ge", "Ge", "Au", "Au", "Au", "Au"], "frac_coords": [[0.000, 0.500, 0.243], [0.500, 0.000, 0.757], [0.000, 0.000, 0.500], [0.000, 0.500, 0.869], [0.500, 0.000, 0.131], [0.500, 0.500, 0.500], [0.000, 0.000, 0.000], [0.000, 0.500, 0.639], [0.500, 0.000, 0.361], [0.500, 0.500, 0.000]], "e_form_ev_per_atom": -0.5545}

no.,energy (eV per cell)
1,-55.0
2,-19.7
3,-15.7
4,-45.2